No. 1
Material: ErH6Ir2Pb
Method: DFT, PBE-GGA
State: relaxed

It has space group C2/c (No. 15), with a = 8.156 Å, b = 9.709 Å, c = 5.540 Å, α = 90.00°, β = 102.51° and γ = 90.00°. The inequivalent atoms are Er at (0.000, 0.138, 0.250), H at (0.110, 0.357, 0.199), H at (0.176, 0.003, 0.556), H at (0.183, 0.248, 0.592), Ir at (0.187, 0.130, 0.802) and Pb at (0.000, 0.394, 0.750).

No. 2
Material: ErH8Ir2Pd
Method: DFT, PBE-GGA
State: relaxed

It has space group C2/m (No. 12), with a = 9.160 Å, b = 3.995 Å, c = 6.123 Å, α = 90.00°, β = 111.45° and γ = 90.00°. The inequivalent atoms are Er at (0.000, 0.000, 0.000), H at (0.136, 0.252, 0.751), H at (0.137, 0.500, 0.042), H at (0.193, 0.000, 0.362), Ir at (0.246, 0.500, 0.323) and Pd at (0.000, 0.500, 0.500).

No. 3
Material: ErH6IrPd2
Method: DFT, PBE-GGA
State: relaxed

It has space group P2_1/c (No. 14), with a = 4.491 Å, b = 4.567 Å, c = 10.070 Å, α = 90.00°, β = 116.37° and γ = 90.00°. The inequivalent atoms are Er at (0.000, 0.000, 0.000), H at (0.120, 0.143, 0.368), H at (0.383, 0.644, 0.132), H at (0.414, 0.670, 0.413), Ir at (0.500, 0.000, 0.500) and Pd at (0.247, 0.078, 0.748).

No. 4
Material: ErH4IrPd2
Method: DFT, PBE-GGA
State: relaxed

It has space group P1 (No. 1), with a = 4.736 Å, b = 4.737 Å, c = 4.762 Å, α = 113.84°, β = 113.84° and γ = 100.78°. The inequivalent atoms are Er at (0.000, 0.000, 0.000), H at (0.084, 0.056, 0.564), H at (0.480, 0.916, 0.970), H at (0.493, 0.519, 0.433), H at (0.947, 0.511, 0.030), Ir at (0.250, 0.750, 0.500), Pd at (0.500, 0.500, 0.000) and Pd at (0.750, 0.251, 0.500).

Number 1: E -191.42 eV per cell, D(E_F) 2.55 states/eV/f.u.. Number 2: E -112.17 eV per cell, D(E_F) 2.20 states/eV/f.u.. Number 3: E -94.37 eV per cell, D(E_F) 0.42 states/eV/f.u.. Number 4: E -40.38 eV per cell, D(E_F) 1.22 states/eV/f.u..